# 1
Density functional theory data (GGA-PBE) for an optimized crystal structure of NaLa2O.

a = 6.9733 Å, b = 6.9733 Å, c = 6.9733 Å
α = 114.09°, β = 114.09°, γ = 100.59°
Fractional coordinates of all 8 atoms:
Na1 0.0000 0.0000 0.0000
Na2 0.7500 0.2500 0.5000
La1 0.2593 0.6250 0.1343
La2 0.3750 0.5093 0.6343
La3 0.4907 0.1250 0.8657
La4 0.8750 0.7407 0.3657
O1 0.2500 0.7500 0.5000
O2 0.5000 0.5000 0.0000

Values from the calculation:
VASP energy = -5.215 eV/atom
N(E_F) = 1.794 states/eV/f.u.
ΔE_f (raw) = -1.182 eV/atom

# 2
Density functional theory data (GGA-PBE) for an optimized crystal structure of CsSe6.

a = 6.7903 Å, b = 6.7903 Å, c = 6.7903 Å
α = 109.47°, β = 109.47°, γ = 109.47°
Fractional coordinates of all 7 atoms:
Cs1 0.0000 0.0000 0.0000
Se1 0.2500 0.5000 0.7500
Se2 0.2500 0.7500 0.5000
Se3 0.5000 0.2500 0.7500
Se4 0.5000 0.7500 0.2500
Se5 0.7500 0.2500 0.5000
Se6 0.7500 0.5000 0.2500

Values from the calculation:
VASP energy = -3.013 eV/atom
N(E_F) = 8.703 states/eV/f.u.
ΔE_f (raw) = 0.095 eV/atom